Record 1
A plane-wave DFT calculation with PBE was carried out for an optimized crystal structure of Sr2AcIn4.

Cell lengths 4.9481, 4.4591, 11.2752 Å; angles 101.40, 102.68, 90.00 degrees
Last column: nearest neighbours and their distance in Å.
Element x y z (fractional)
Sr 0.8108 0.8108 0.6217  7 In 3.46-3.61
Sr 0.1892 0.1892 0.3783  7 In 3.46-3.61
In 0.9334 0.4334 0.8668  3 In 2.87-2.97
In 0.3569 0.3569 0.7137  2 In 2.97
In 0.0666 0.5666 0.1332  3 In 2.87-2.97
In 0.6431 0.6431 0.2863  2 In 2.97
Ac 0.5000 0.0000 0.0000  12 In 3.63-3.81

## Properties
E_tot in eV/atom: -3.07
E_form in eV per atom: -0.438
Total magnetic moment in μB per cell: 0.000

Record 2
A plane-wave DFT calculation with PBE was carried out for an optimized crystal structure of Tb3BSb.

Cell lengths 5.0166, 5.0166, 5.0166 Å; angles 90.00, 90.00, 90.00 degrees
Last column: nearest neighbours and their distance in Å.
Element x y z (fractional)
Sb 0.5000 0.5000 0.5000  12 Tb 3.55
B 0.0000 0.0000 0.0000  6 Tb 2.51
Tb 0.5000 0.0000 0.0000  2 B 2.51
Tb 0.0000 0.5000 0.0000  2 B 2.51
Tb 0.0000 0.0000 0.5000  2 B 2.51

## Properties
E_form (uncorrected) in eV/atom: -0.5133
E_tot in eV/atom: -5.45
Total magnetic moment in μB per cell: 0.000

Record 3
A plane-wave DFT calculation with PBE was carried out for an optimized crystal structure of Y2TaSb.

Cell lengths 4.8321, 4.8302, 4.2095 Å; angles 90.00, 90.00, 90.00 degrees
Last column: nearest neighbours and their distance in Å.
Element x y z (fractional)
Y 0.5000 0.5000 0.0000  4 Sb 3.20, 4 Ta 3.20, 4 Y 3.42
Y 0.0000 0.0000 0.0000  4 Ta 3.20, 4 Sb 3.20, 4 Y 3.42
Ta 0.0000 0.5000 0.5000  8 Y 3.20, 4 Sb 3.42
Sb 0.5000 0.0000 0.5000  8 Y 3.20, 4 Ta 3.42

## Properties
E_form (uncorrected) in eV/atom: -0.1027
E_tot in eV/atom: -7.33
Total magnetic moment in μB per cell: 1.411

Record 4
A plane-wave DFT calculation with PBE was carried out for an optimized crystal structure of Pm2SiBPd6.

Cell lengths 5.7698, 7.1163, 8.7137 Å; angles 90.00, 90.00, 90.00 degrees
Last column: nearest neighbours and their distance in Å.
Element x y z (fractional)
Pd 0.7625 0.9925 0.5000  1 B 2.10
Pd 0.7375 0.0075 0.0000  1 B 2.10
Pd 0.5000 0.1637 0.7436  1 B 2.14
Pd 0.2625 0.0075 0.0000  1 B 2.10
Pd 0.7490 0.4130 0.5000  1 B 2.11
Pd 0.2510 0.4130 0.5000  1 B 2.11
Pd 0.0000 0.8363 0.2436  1 B 2.14
Pd 0.2375 0.9925 0.5000  1 B 2.10
Pd 0.5000 0.1637 0.2564  1 B 2.14
Pd 0.0000 0.8363 0.7564  1 B 2.14
Pd 0.2490 0.5870 0.0000  1 B 2.11
Pd 0.7510 0.5870 0.0000  1 B 2.11
Si 0.0000 0.6888 0.5000  6 Pd 2.44-2.56
Si 0.5000 0.3112 0.0000  6 Pd 2.44-2.56
B 0.0000 0.8036 0.0000  6 Pd 2.10-2.14
B 0.5000 0.1964 0.5000  6 Pd 2.10-2.14
Pm 0.0000 0.2819 0.7825  9 Pd 3.00-3.22
Pm 0.5000 0.7181 0.7175  9 Pd 3.00-3.22
Pm 0.0000 0.2819 0.2175  9 Pd 3.00-3.22
Pm 0.5000 0.7181 0.2825  9 Pd 3.00-3.22

## Properties
E_form (uncorrected) in eV/atom: -0.7330
E_tot in eV/atom: -6.01
Total magnetic moment in μB per cell: 0.000

Record 5
A plane-wave DFT calculation with PBE was carried out for an optimized crystal structure of ScInI2F.

Cell lengths 6.0475, 6.0475, 4.1238 Å; angles 90.00, 90.00, 90.00 degrees
Last column: nearest neighbours and their distance in Å.
Element x y z (fractional)
F 0.0000 0.0000 0.5000  2 Sc 2.06
I 0.0000 0.5000 0.0000  2 Sc 3.02
I 0.5000 0.0000 0.0000  2 Sc 3.02
Sc 0.0000 0.0000 0.0000  2 F 2.06
In 0.5000 0.5000 0.5000  8 I 3.66

## Properties
E_form (uncorrected) in eV/atom: -1.4531
E_tot in eV/atom: -4.26
Total magnetic moment in μB per cell: 0.782

Among the records above, which one has the highest E_tot?
Sr2AcIn4

The highest total magnetic moment belongs to which entry?
Y2TaSb

Which formula does entry 4 have?
Pm2SiBPd6

Which formula does entry 4 have?
Pm2SiBPd6